Computed, not measured: crystalline Sm2GdMg at its relaxed geometry at the GGA-PBE level of DFT.

Cell: 3.691 3.691 9.088 Å, 90.00 90.00 90.00°
Site moments in Bohr magnetons follow the coordinates.
Fractional positions:
1 Mg 0.500 0.500 0.000  0.00
2 Gd 0.500 0.500 0.500  7.15
3 Sm 0.000 0.000 0.770  -0.04
4 Sm 0.000 0.000 0.230  -0.04

Computed properties:
spin magnetization: 7.2 μB/f.u.
Fermi-level density of states: 1.351 states/eV/atom
ΔE_f: -0.03 eV/atom
energy relative to the lowest polymorph listed for this composition: 0 meV per atom
calculated volume: 30.955 Å³ per atom